CsLi2CoO | PBE with a Hubbard U | relaxed

a = 5.7436 Å, b = 5.7436 Å, c = 4.5854 Å
α = 90.00°, β = 90.00°, γ = 90.00°
Fractional positions:
Cs 0.0000 0.0000 0.0000
Co 0.5000 0.5000 0.5000
O 0.0000 0.0000 0.5000
Li 0.0000 0.5000 0.0000
Li 0.5000 0.0000 0.0000

Density of states at the Fermi level, states/eV/cell: 2.5
Total DFT energy (no corrections), eV/atom: -2.1771